[1]
# Y5Bi2Te | the Alexandria database | PBE | relaxed
# Density: 6.7 Mg/m³
# E_tot: -6.059 eV/atom
data_Y5Bi2Te
_symmetry_space_group_name_H-M 'P 1'
_symmetry_Int_Tables_number 1
_symmetry_space_group_name_Hall 'P 1'
_cell_length_a 6.377
_cell_length_b 6.378
_cell_length_c 6.861
_cell_angle_alpha 107.92
_cell_angle_beta 107.83
_cell_angle_gamma 97.30
loop_
_atom_site_label
_atom_site_fract_x
_atom_site_fract_y
_atom_site_fract_z
_atom_site_occupancy
Y1 0.000 0.000 0.000 1
Y2 0.032 0.645 0.458 1
Y3 0.456 0.455 0.993 1
Y4 0.546 0.546 0.542 1
Y5 0.646 0.031 0.458 1
Bi1 0.471 0.934 0.924 1
Bi2 0.935 0.471 0.924 1
Te1 0.166 0.165 0.487 1

***

[2]
# YBiTe3 | the Alexandria database | PBE | relaxed
# Offset from the most stable computed form: 0.0 meV per atom
# Density: 6.0 Mg/m³
# E_tot: -4.768 eV/atom
data_YBiTe3
_symmetry_space_group_name_H-M 'P 1 21/m 1'
_symmetry_Int_Tables_number 11
_symmetry_space_group_name_Hall '-P 2yb'
_cell_length_a 7.663
_cell_length_b 4.401
_cell_length_c 11.373
_cell_angle_alpha 90.00
_cell_angle_beta 102.19
_cell_angle_gamma 90.00
loop_
_atom_site_label
_atom_site_fract_x
_atom_site_fract_y
_atom_site_fract_z
_atom_site_occupancy
Y1 0.233 0.250 0.490 1
Bi1 0.362 0.250 0.852 1
Te1 0.027 0.750 0.334 1
Te2 0.246 0.750 0.004 1
Te3 0.461 0.750 0.651 1

***

[3]
# Y2BiTe | the Alexandria database | PBE | relaxed
# Offset from the most stable computed form: 0.0 meV per atom
# Density: 7.0 Mg/m³
# E_tot: -6.111 eV/atom
data_Y2BiTe
_symmetry_space_group_name_H-M 'C 1 2/m 1'
_symmetry_Int_Tables_number 12
_symmetry_space_group_name_Hall '-C 2y'
_cell_length_a 7.679
_cell_length_b 4.436
_cell_length_c 7.643
_cell_angle_alpha 90.00
_cell_angle_beta 109.63
_cell_angle_gamma 90.00
loop_
_atom_site_label
_atom_site_fract_x
_atom_site_fract_y
_atom_site_fract_z
_atom_site_occupancy
Y1 0.250 0.000 0.249 1
Bi1 0.000 0.500 0.000 1
Te1 0.000 0.000 0.500 1

***

One value per record, in order, for total magnetization: 0.00, 0.00, 0.00 μB/atom.